Entry 1
{"formula": "MgScFeB", "functional": "PBE", "state": "relaxed", "lattice_angstrom": [[0.000, 2.956, 2.956], [2.956, 0.000, 2.956], [2.956, 2.956, 0.000]], "species": ["Mg", "Sc", "Fe", "B"], "fractional_positions": [[0.000, 0.000, 0.000], [0.750, 0.750, 0.750], [0.250, 0.250, 0.250], [0.500, 0.500, 0.500]], "m_tot_mub_per_fu": 1.8, "rho_g_cm3": 4.37}



Entry 2
{"formula": "MgScFeB", "functional": "PBE", "state": "relaxed", "lattice_angstrom": [[0.000, 2.956, 2.956], [2.956, 0.000, 2.956], [2.956, 2.956, 0.000]], "species": ["Mg", "Sc", "Fe", "B"], "fractional_positions": [[0.000, 0.000, 0.000], [0.750, 0.750, 0.750], [0.500, 0.500, 0.500], [0.250, 0.250, 0.250]], "m_tot_mub_per_fu": 1.9, "rho_g_cm3": 4.37}



Stability ranking, top and bottom: entry 1 is the most stable and entry 2 is the least stable.



Entry 1
{"formula": "MgZnFeB", "functional": "PBE", "state": "relaxed", "lattice_angstrom": [[0.000, 2.866, 2.866], [2.866, 0.000, 2.866], [2.866, 2.866, 0.000]], "species": ["Mg", "Zn", "Fe", "B"], "fractional_positions": [[0.000, 0.000, 0.000], [0.250, 0.250, 0.250], [0.750, 0.750, 0.750], [0.500, 0.500, 0.500]], "m_tot_mub_per_fu": 1.7, "rho_g_cm3": 5.52}



Entry 2
{"formula": "MgZnFeB", "functional": "PBE", "state": "relaxed", "lattice_angstrom": [[0.000, 2.860, 2.860], [2.860, 0.000, 2.860], [2.860, 2.860, 0.000]], "species": ["Mg", "Zn", "Fe", "B"], "fractional_positions": [[0.000, 0.000, 0.000], [0.750, 0.750, 0.750], [0.500, 0.500, 0.500], [0.250, 0.250, 0.250]], "m_tot_mub_per_fu": 1.4, "rho_g_cm3": 5.55}



Stability ranking, top and bottom: entry 2 is the most stable and entry 1 is the least stable.



Entry 1
{"formula": "MgZrFeB", "functional": "PBE", "state": "relaxed", "lattice_angstrom": [[0.000, 2.996, 2.996], [2.996, 0.000, 2.996], [2.996, 2.996, 0.000]], "species": ["Mg", "Zr", "Fe", "B"], "fractional_positions": [[0.000, 0.000, 0.000], [0.250, 0.250, 0.250], [0.750, 0.750, 0.750], [0.500, 0.500, 0.500]], "m_tot_mub_per_fu": 0.8, "rho_g_cm3": 5.62}



Entry 2
{"formula": "MgZrFeB", "functional": "PBE", "state": "relaxed", "lattice_angstrom": [[0.000, 2.998, 2.998], [2.998, 0.000, 2.998], [2.998, 2.998, 0.000]], "species": ["Mg", "Zr", "Fe", "B"], "fractional_positions": [[0.000, 0.000, 0.000], [0.750, 0.750, 0.750], [0.500, 0.500, 0.500], [0.250, 0.250, 0.250]], "m_tot_mub_per_fu": 1.0, "rho_g_cm3": 5.61}



Stability ranking, top and bottom: entry 1 is the most stable and entry 2 is the least stable.



Entry 1
{"formula": "FeB4Mo", "functional": "PBE", "state": "relaxed", "lattice_angstrom": [[3.049, 0.000, 0.000], [-1.525, 2.641, 0.000], [0.000, 0.000, 5.934]], "species": ["Fe", "B", "B", "B", "B", "Mo"], "fractional_positions": [[0.000, 0.000, 0.000], [0.333, 0.667, 0.226], [0.333, 0.667, 0.774], [0.667, 0.333, 0.226], [0.667, 0.333, 0.774], [0.000, 0.000, 0.500]], "m_tot_mub_per_fu": 0.0, "rho_g_cm3": 6.78}



Entry 2
{"formula": "FeB4Mo", "functional": "PBE", "state": "relaxed", "lattice_angstrom": [[-1.499, 2.657, 3.161], [1.499, -2.657, 3.161], [1.499, 2.657, -3.161]], "species": ["Fe", "B", "B", "B", "B", "Mo"], "fractional_positions": [[0.000, 0.000, 0.000], [0.081, 0.747, 0.334], [0.412, 0.747, 0.666], [0.588, 0.253, 0.334], [0.919, 0.253, 0.666], [0.500, 0.500, 0.000]], "m_tot_mub_per_fu": 2.8, "rho_g_cm3": 6.43}



Stability ranking, top and bottom: entry 1 is the most stable and entry 2 is the least stable.



Entry 1
{"formula": "NbFeBPt", "functional": "PBE", "state": "relaxed", "lattice_angstrom": [[0.000, 2.986, 2.986], [2.986, 0.000, 2.986], [2.986, 2.986, 0.000]], "species": ["Nb", "Fe", "B", "Pt"], "fractional_positions": [[0.000, 0.000, 0.000], [0.750, 0.750, 0.750], [0.500, 0.500, 0.500], [0.250, 0.250, 0.250]], "m_tot_mub_per_fu": 1.9, "rho_g_cm3": 11.06}



Entry 2
{"formula": "NbFeBPt", "functional": "PBE", "state": "relaxed", "lattice_angstrom": [[0.000, 3.006, 3.006], [3.006, 0.000, 3.006], [3.006, 3.006, 0.000]], "species": ["Nb", "Fe", "B", "Pt"], "fractional_positions": [[0.000, 0.000, 0.000], [0.500, 0.500, 0.500], [0.250, 0.250, 0.250], [0.750, 0.750, 0.750]], "m_tot_mub_per_fu": 2.4, "rho_g_cm3": 10.84}



Stability ranking, top and bottom: entry 2 is the most stable and entry 1 is the least stable.



Entry 1
{"formula": "NdFeB", "functional": "PBE", "state": "relaxed", "lattice_angstrom": [[6.452, 0.000, 0.000], [0.000, 3.569, 0.000], [0.000, 0.000, 8.619]], "species": ["Nd", "Nd", "Nd", "Nd", "Fe", "Fe", "Fe", "Fe", "B", "B", "B", "B"], "fractional_positions": [[0.021, 0.250, 0.185], [0.479, 0.750, 0.685], [0.521, 0.250, 0.315], [0.979, 0.750, 0.815], [0.128, 0.250, 0.525], [0.372, 0.750, 0.025], [0.628, 0.250, 0.975], [0.872, 0.750, 0.475], [0.185, 0.750, 0.438], [0.315, 0.250, 0.938], [0.685, 0.750, 0.062], [0.815, 0.250, 0.562]], "m_tot_mub_per_fu": 0.9, "rho_g_cm3": 7.06}



Entry 2
{"formula": "NdFeB", "functional": "PBE", "state": "relaxed", "lattice_angstrom": [[6.695, 0.000, 0.000], [-3.347, 5.798, 0.000], [0.000, 0.000, 3.718]], "species": ["Nd", "Nd", "Nd", "Fe", "Fe", "Fe", "B", "B", "B"], "fractional_positions": [[0.000, 0.578, 0.000], [0.422, 0.422, 0.000], [0.578, 0.000, 0.000], [0.000, 0.000, 0.000], [0.333, 0.667, 0.500], [0.667, 0.333, 0.500], [0.000, 0.158, 0.500], [0.158, 0.000, 0.500], [0.842, 0.842, 0.500]], "m_tot_mub_per_fu": 0.5, "rho_g_cm3": 7.28}



Stability ranking, top and bottom: entry 1 is the most stable and entry 2 is the least stable.



Entry 1
{"formula": "FeNiBOs", "functional": "PBE", "state": "relaxed", "lattice_angstrom": [[0.000, 2.757, 2.757], [2.757, 0.000, 2.757], [2.757, 2.757, 0.000]], "species": ["Fe", "Ni", "B", "Os"], "fractional_positions": [[0.000, 0.000, 0.000], [0.250, 0.250, 0.250], [0.750, 0.750, 0.750], [0.500, 0.500, 0.500]], "m_tot_mub_per_fu": 1.3, "rho_g_cm3": 12.51}



Entry 2
{"formula": "FeNiBOs", "functional": "PBE", "state": "relaxed", "lattice_angstrom": [[0.000, 2.805, 2.805], [2.805, 0.000, 2.805], [2.805, 2.805, 0.000]], "species": ["Fe", "Ni", "B", "Os"], "fractional_positions": [[0.000, 0.000, 0.000], [0.500, 0.500, 0.500], [0.750, 0.750, 0.750], [0.250, 0.250, 0.250]], "m_tot_mub_per_fu": 1.6, "rho_g_cm3": 11.87}



Stability ranking, top and bottom: entry 1 is the most stable and entry 2 is the least stable.



Entry 1
{"formula": "FeTcNiB", "functional": "PBE", "state": "relaxed", "lattice_angstrom": [[0.000, 2.786, 2.786], [2.786, 0.000, 2.786], [2.786, 2.786, 0.000]], "species": ["Fe", "Tc", "Ni", "B"], "fractional_positions": [[0.000, 0.000, 0.000], [0.250, 0.250, 0.250], [0.750, 0.750, 0.750], [0.500, 0.500, 0.500]], "m_tot_mub_per_fu": 1.7, "rho_g_cm3": 8.57}



Entry 2
{"formula": "FeTcNiB", "functional": "PBE", "state": "relaxed", "lattice_angstrom": [[0.000, 2.753, 2.753], [2.753, 0.000, 2.753], [2.753, 2.753, 0.000]], "species": ["Fe", "Tc", "Ni", "B"], "fractional_positions": [[0.000, 0.000, 0.000], [0.500, 0.500, 0.500], [0.250, 0.250, 0.250], [0.750, 0.750, 0.750]], "m_tot_mub_per_fu": 0.0, "rho_g_cm3": 8.89}



Stability ranking, top and bottom: entry 2 is the most stable and entry 1 is the least stable.